No. 1
Compound: K2LiS2
Source: the Alexandria database
Functional: PBE
Structure: optimized geometry

Geometry as CIF:
```
data_K2LiS2
_chemical_formula_sum 'K4 Li2 S4'
_space_group_name_H-M_alt 'P 4/m b m'
_space_group_IT_number 127
_space_group_name_Hall '-P 4 2ab'
_cell_length_a 7.374
_cell_length_b 7.374
_cell_length_c 4.711
_cell_angle_alpha 90.00
_cell_angle_beta 90.00
_cell_angle_gamma 90.00
loop_
_atom_site_label
_atom_site_fract_x
_atom_site_fract_y
_atom_site_fract_z
K1 0.150 0.350 0.000
Li1 0.000 0.000 0.500
S1 0.155 0.655 0.500
```



No. 2
Compound: Sc4GaH
Source: the Alexandria database
Functional: PBE
Structure: optimized geometry

Geometry as CIF:
```
data_Sc4GaH
_chemical_formula_sum 'Sc8 Ga2 H2'
_space_group_name_H-M_alt 'P m m n'
_space_group_IT_number 59
_cell_length_a 4.608
_cell_length_b 7.844
_cell_length_c 6.344
_cell_angle_alpha 90.00
_cell_angle_beta 90.00
_cell_angle_gamma 90.00
loop_
_space_group_symop_operation_xyz
'x,y,z'
'-x,-y,-z'
'-x+1/2,-y+1/2,z'
'x+1/2,y+1/2,-z'
'x+1/2,-y,-z'
'-x+1/2,y,z'
'-x,y+1/2,-z'
'x,-y+1/2,z'
loop_
_atom_site_label
_atom_site_fract_x
_atom_site_fract_y
_atom_site_fract_z
Sc1 0.250 0.055 0.214
Sc2 0.250 0.250 0.750
Sc3 0.250 0.750 0.555
Ga1 0.250 0.750 0.979
H1 0.250 0.250 0.423
```



No. 3
# PuNbBi2, optimized geometry, DFT PBE
# energy of formation = 5.78 kcal/mol of atoms
data_PuNbBi2
_chemical_formula_sum 'Pu3 Nb3 Bi6'
_space_group_name_H-M_alt 'R -3 m'
_space_group_IT_number 166
_space_group_name_Hall '-R 3 2"'
_cell_length_a 3.4618
_cell_length_b 3.4618
_cell_length_c 32.8145
_cell_angle_alpha 90.00
_cell_angle_beta 90.00
_cell_angle_gamma 120.00
loop_
_atom_site_label
_atom_site_fract_x
_atom_site_fract_y
_atom_site_fract_z
Pu1 0.0000 0.0000 0.0000
Nb1 0.0000 0.0000 0.5000
Bi1 0.0000 0.0000 0.1004



no.,uncorrected energy (eV/atom)
1,-3.245
2,-5.594
3,-7.790